A plane-wave DFT calculation with PBE was carried out for Ba3Tl2Sn after structural relaxation.

```
data_Ba3Tl2Sn
_cell_length_a 6.098
_cell_length_b 18.798
_cell_length_c 4.134
_cell_angle_alpha 90.00
_cell_angle_beta 90.00
_cell_angle_gamma 90.00
_space_group_name_H-M_alt 'C m m m'
_space_group_IT_number 65
_space_group_name_Hall '-C 2 2'
loop_
_atom_site_label
_atom_site_fract_x
_atom_site_fract_y
_atom_site_fract_z
Ba1 0.000 0.000 0.000
Ba2 0.000 0.342 0.000
Tl1 0.000 0.183 0.500
Sn1 0.000 0.500 0.500
```

Computed properties:
Energy relative to the elements   -2.80 eV per formula unit
Magnetic moment   0.000 μB/f.u.
E   -2.8837 eV per atom



A plane-wave DFT calculation with PBE was carried out for Al2FeSe4 after structural relaxation.

```
data_Al2FeSe4
_cell_length_a 5.538
_cell_length_b 5.538
_cell_length_c 12.951
_cell_angle_alpha 90.00
_cell_angle_beta 90.00
_cell_angle_gamma 90.00
_space_group_name_H-M_alt 'I -4 2 m'
_space_group_IT_number 121
_space_group_name_Hall 'I -4 2'
loop_
_atom_site_label
_atom_site_fract_x
_atom_site_fract_y
_atom_site_fract_z
Al1 0.000 0.500 0.000
Fe1 0.000 0.000 0.000
Se1 0.249 0.249 0.614
```

Computed properties:
Magnetic moment   4.000 μB/f.u.
E   -4.8448 eV per atom
ΔE_f (raw)   -0.575 eV per atom



A plane-wave DFT calculation with PBE was carried out for Nd4NiPb after structural relaxation.

```
data_Nd4NiPb
_cell_length_a 5.945
_cell_length_b 7.058
_cell_length_c 8.697
_cell_angle_alpha 90.00
_cell_angle_beta 100.89
_cell_angle_gamma 90.00
_space_group_name_H-M_alt 'P 1 21/m 1'
_space_group_IT_number 11
_space_group_name_Hall '-P 2yb'
loop_
_atom_site_label
_atom_site_fract_x
_atom_site_fract_y
_atom_site_fract_z
Nd1 0.112 0.250 0.053
Nd2 0.196 0.750 0.371
Nd3 0.363 0.506 0.781
Ni1 0.345 0.750 0.051
Pb1 0.238 0.250 0.432
```

Computed properties:
Energy relative to the elements   -1.78 eV per formula unit
Distance to the lowest polymorph of the same formula   0.0 kJ/mol of atoms
Magnetic moment   0.000 μB/f.u.
E   -5.0561 eV per atom



A plane-wave DFT calculation with PBE was carried out for Zr2AlZn after structural relaxation.

```
data_Zr2AlZn
_cell_length_a 3.043
_cell_length_b 3.043
_cell_length_c 8.196
_cell_angle_alpha 90.00
_cell_angle_beta 90.00
_cell_angle_gamma 90.00
_space_group_name_H-M_alt 'P 4/m m m'
_space_group_IT_number 123
_space_group_name_Hall '-P 4 2'
loop_
_atom_site_label
_atom_site_fract_x
_atom_site_fract_y
_atom_site_fract_z
Zr1 0.000 0.000 0.249
Al1 0.500 0.500 0.500
Zn1 0.500 0.500 0.000
```

Computed properties:
Energy relative to the elements   -1.41 eV per formula unit
Magnetic moment   0.000 μB/f.u.
E   -5.8817 eV per atom



A plane-wave DFT calculation with PBE was carried out for BaLi9Au2 after structural relaxation.

```
data_BaLi9Au2
_cell_length_a 11.500
_cell_length_b 11.500
_cell_length_c 7.659
_cell_angle_alpha 90.00
_cell_angle_beta 90.00
_cell_angle_gamma 90.00
_space_group_name_H-M_alt 'I 41/a m d'
_space_group_IT_number 141
loop_
_space_group_symop_operation_xyz
'x,y,z'
'-x,-y,-z'
'-y+1/4,x+3/4,z+1/4'
'y+1/4,-x+3/4,-z+1/4'
'-x+1/2,-y,z+1/2'
'x+1/2,y,-z+1/2'
'y+1/4,-x+1/4,z+3/4'
'-y+1/4,x+1/4,-z+3/4'
'x,-y,-z'
'-x,y,z'
'-y+1/4,-x+1/4,-z+3/4'
'y+1/4,x+1/4,z+3/4'
'-x+1/2,y,-z+1/2'
'x+1/2,-y,z+1/2'
'y+1/4,x+3/4,-z+1/4'
'-y+1/4,-x+3/4,z+1/4'
'x+1/2,y+1/2,z+1/2'
'-x+1/2,-y+1/2,-z+1/2'
'-y+3/4,x+1/4,z+3/4'
'y+3/4,-x+1/4,-z+3/4'
'-x,-y+1/2,z'
'x,y+1/2,-z'
'y+3/4,-x+3/4,z+1/4'
'-y+3/4,x+3/4,-z+1/4'
'x+1/2,-y+1/2,-z+1/2'
'-x+1/2,y+1/2,z+1/2'
'-y+3/4,-x+3/4,-z+1/4'
'y+3/4,x+3/4,z+1/4'
'-x,y+1/2,-z'
'x,-y+1/2,z'
'y+3/4,x+1/4,-z+3/4'
'-y+3/4,-x+1/4,z+3/4'
loop_
_atom_site_label
_atom_site_fract_x
_atom_site_fract_y
_atom_site_fract_z
Ba1 0.000 0.250 0.375
Li1 0.000 0.250 0.875
Li2 0.124 0.050 0.705
Au1 0.000 0.000 0.000
```

Computed properties:
Energy relative to the elements   -3.08 eV per formula unit
Magnetic moment   0.000 μB/f.u.
E   -2.3981 eV per atom



A plane-wave DFT calculation with PBE was carried out for AlVSi2 after structural relaxation.

```
data_AlVSi2
_cell_length_a 6.976
_cell_length_b 6.976
_cell_length_c 5.125
_cell_angle_alpha 90.00
_cell_angle_beta 90.00
_cell_angle_gamma 90.00
_space_group_name_H-M_alt 'I -4 2 d'
_space_group_IT_number 122
_space_group_name_Hall 'I -4 2bw'
loop_
_atom_site_label
_atom_site_fract_x
_atom_site_fract_y
_atom_site_fract_z
Al1 0.000 0.000 0.000
V1 0.000 0.000 0.500
Si1 0.240 0.250 0.625
```

Computed properties:
Magnetic moment   0.000 μB/f.u.
E   -5.6263 eV per atom
ΔE_f (raw)   0.300 eV per atom



A plane-wave DFT calculation with PBE was carried out for Al2CoHg after structural relaxation.

```
data_Al2CoHg
_cell_length_a 4.025
_cell_length_b 4.025
_cell_length_c 17.366
_cell_angle_alpha 90.00
_cell_angle_beta 90.00
_cell_angle_gamma 90.00
_space_group_name_H-M_alt 'I -4 2 d'
_space_group_IT_number 122
_space_group_name_Hall 'I -4 2bw'
loop_
_atom_site_label
_atom_site_fract_x
_atom_site_fract_y
_atom_site_fract_z
Al1 0.212 0.250 0.125
Co1 0.000 0.000 0.000
Hg1 0.000 0.000 0.500
```

Computed properties:
Energy relative to the elements   1.14 eV per formula unit
Distance to the lowest polymorph of the same formula   47.8 kJ/mol of atoms
Magnetic moment   0.473 μB/f.u.
E   -3.4378 eV per atom



A plane-wave DFT calculation with PBE was carried out for Na2TlCd5Ag2 after structural relaxation.

```
data_Na2TlCd5Ag2
_cell_length_a 10.105
_cell_length_b 10.105
_cell_length_c 4.725
_cell_angle_alpha 90.00
_cell_angle_beta 90.00
_cell_angle_gamma 90.00
_space_group_name_H-M_alt 'P 4/m b m'
_space_group_IT_number 127
_space_group_name_Hall '-P 4 2ab'
loop_
_atom_site_label
_atom_site_fract_x
_atom_site_fract_y
_atom_site_fract_z
Na1 0.180 0.320 0.000
Tl1 0.000 0.000 0.000
Cd1 0.000 0.500 0.500
Cd2 0.072 0.791 0.500
Ag1 0.112 0.612 0.000
```

Computed properties:
Energy relative to the elements   -0.53 eV per formula unit
Magnetic moment   0.000 μB/f.u.
E   -1.5809 eV per atom



A plane-wave DFT calculation with PBE was carried out for KZn2Os after structural relaxation.

```
data_KZn2Os
_cell_length_a 4.034
_cell_length_b 4.034
_cell_length_c 9.107
_cell_angle_alpha 90.00
_cell_angle_beta 90.00
_cell_angle_gamma 90.00
_space_group_name_H-M_alt 'I -4 m 2'
_space_group_IT_number 119
_space_group_name_Hall 'I -4 -2'
loop_
_atom_site_label
_atom_site_fract_x
_atom_site_fract_y
_atom_site_fract_z
K1 0.000 0.000 0.000
Zn1 0.000 0.000 0.500
Zn2 0.000 0.500 0.250
Os1 0.000 0.500 0.750
```

Computed properties:
Energy relative to the elements   4.19 eV per formula unit
Distance to the lowest polymorph of the same formula   61.1 kJ/mol of atoms
Magnetic moment   0.573 μB/f.u.
E   -2.6721 eV per atom



A plane-wave DFT calculation with PBE was carried out for Li2Pr2Zn after structural relaxation.

```
data_Li2Pr2Zn
_cell_length_a 3.738
_cell_length_b 3.738
_cell_length_c 18.972
_cell_angle_alpha 90.00
_cell_angle_beta 90.00
_cell_angle_gamma 90.00
_space_group_name_H-M_alt 'I 4/m m m'
_space_group_IT_number 139
_space_group_name_Hall '-I 4 2'
loop_
_atom_site_label
_atom_site_fract_x
_atom_site_fract_y
_atom_site_fract_z
Li1 0.000 0.500 0.250
Pr1 0.000 0.000 0.093
Zn1 0.000 0.000 0.500
```

Computed properties:
Energy relative to the elements   0.09 eV per formula unit
Magnetic moment   0.124 μB/f.u.
E   -2.9147 eV per atom



A plane-wave DFT calculation with PBE was carried out for Ho6PbAu2Se3 after structural relaxation.

```
data_Ho6PbAu2Se3
_cell_length_a 18.677
_cell_length_b 4.011
_cell_length_c 8.654
_cell_angle_alpha 90.00
_cell_angle_beta 108.44
_cell_angle_gamma 90.00
_space_group_name_H-M_alt 'C 1 2/m 1'
_space_group_IT_number 12
_space_group_name_Hall '-C 2y'
loop_
_atom_site_label
_atom_site_fract_x
_atom_site_fract_y
_atom_site_fract_z
Ho1 0.003 0.000 0.268
Ho2 0.165 0.500 0.589
Ho3 0.174 0.500 0.097
Pb1 0.000 0.500 0.000
Au1 0.173 0.000 0.348
Se1 0.000 0.500 0.500
Se2 0.162 0.000 0.840
```

Computed properties:
Magnetic moment   0.000 μB/f.u.
E   -5.2106 eV per atom
ΔE_f (raw)   -1.195 eV per atom



A plane-wave DFT calculation with PBE was carried out for LiZnCu3 after structural relaxation.

```
data_LiZnCu3
_cell_length_a 4.240
_cell_length_b 12.084
_cell_length_c 5.023
_cell_angle_alpha 90.00
_cell_angle_beta 90.00
_cell_angle_gamma 90.00
_space_group_name_H-M_alt 'C m c m'
_space_group_IT_number 63
_space_group_name_Hall '-C 2c 2'
loop_
_atom_site_label
_atom_site_fract_x
_atom_site_fract_y
_atom_site_fract_z
Li1 0.000 0.004 0.250
Zn1 0.000 0.385 0.250
Cu1 0.000 0.192 0.000
Cu2 0.000 0.382 0.750
```

Computed properties:
Energy relative to the elements   -0.24 eV per formula unit
Distance to the lowest polymorph of the same formula   2.1 kJ/mol of atoms
Magnetic moment   0.000 μB/f.u.
E   -3.1441 eV per atom



Question: The lowest E belongs to which entry?
Answer: Zr2AlZn



Question: What is the formula in the eleventh record?
Answer: Ho6PbAu2Se3



Question: What is the formula in the fifth record?
Answer: BaLi9Au2